# 1
Computed, not measured: a relaxed BaNa2CaHg4 crystal at the PBE-GGA level of DFT.

Cell: 9.521 9.521 9.521 Å, 33.55 33.55 33.55°
Sites, in units of the cell vectors:
Ba 0.000 0.000 0.000
Na 0.248 0.248 0.248
Na 0.752 0.752 0.752
Ca 0.500 0.500 0.500
Hg 0.130 0.130 0.130
Hg 0.384 0.384 0.384
Hg 0.616 0.616 0.616
Hg 0.870 0.870 0.870

Values from the calculation:
The value obtained for the density of states at the Fermi level is 7.40 states/eV per cell. Its formation enthalpy at 0 K is -370.5 meV per atom. As for the crystal system: trigonal.

# 2
Computed, not measured: a relaxed BaNaCa2Hg crystal at the PBE-GGA level of DFT.

Cell: 6.014 6.014 6.012 Å, 90.00 90.00 90.00°
Sites, in units of the cell vectors:
Ba 0.000 0.000 0.000
Na 0.500 0.500 0.000
Ca 0.000 0.500 0.500
Ca 0.500 0.000 0.500
Hg 0.500 0.500 0.500

Values from the calculation:
The value obtained for the density of states at the Fermi level is 6.05 states/eV per cell. Its polymorph energy (0 for the lowest one) is 0.0132 eV per atom. Its formation enthalpy at 0 K is -96.1 meV per atom. As for the crystal system: tetragonal.